1.
# CoAg2GeSe, optimized geometry, DFT PBE-GGA
data_CoAg2GeSe
_chemical_formula_sum 'Co1 Ag2 Ge1 Se1'
_cell_length_a 4.920
_cell_length_b 4.920
_cell_length_c 4.376
_cell_angle_alpha 90.00
_cell_angle_beta 90.00
_cell_angle_gamma 90.00
_space_group_name_H-M_alt 'P 4/m m m'
_space_group_IT_number 123
_space_group_name_Hall '-P 4 2'
loop_
_atom_site_label
_atom_site_fract_x
_atom_site_fract_y
_atom_site_fract_z
Co1 0.000 0.000 0.000
Ag1 0.000 0.500 0.000
Ge1 0.000 0.000 0.500
Se1 0.500 0.500 0.500
# - energy relative to the elements, uncorrected (eV/f.u.) = 3.0
# - crystal system = tetragonal

=====

2.
# VCo2AgGe, optimized geometry, DFT PBE-GGA
data_VCo2AgGe
_chemical_formula_sum 'V1 Co2 Ag1 Ge1'
_cell_length_a 4.344
_cell_length_b 4.344
_cell_length_c 4.681
_cell_angle_alpha 90.00
_cell_angle_beta 90.00
_cell_angle_gamma 90.00
_space_group_name_H-M_alt 'P 4/m m m'
_space_group_IT_number 123
_space_group_name_Hall '-P 4 2'
loop_
_atom_site_label
_atom_site_fract_x
_atom_site_fract_y
_atom_site_fract_z
V1 0.000 0.000 0.000
Co1 0.000 0.500 0.500
Ag1 0.500 0.500 0.000
Ge1 0.000 0.000 0.500
# - formation energy from the elements (kcal/mol of atoms) = 20.01
# - crystal system = tetragonal

=====

3.
# VCo2AgGe, optimized geometry, DFT PBE-GGA
data_VCo2AgGe
_chemical_formula_sum 'V1 Co2 Ag1 Ge1'
_cell_length_a 4.612
_cell_length_b 4.612
_cell_length_c 4.581
_cell_angle_alpha 90.00
_cell_angle_beta 90.00
_cell_angle_gamma 90.00
_space_group_name_H-M_alt 'P 4/m m m'
_space_group_IT_number 123
_space_group_name_Hall '-P 4 2'
loop_
_atom_site_label
_atom_site_fract_x
_atom_site_fract_y
_atom_site_fract_z
V1 0.000 0.000 0.000
Co1 0.000 0.500 0.500
Ag1 0.500 0.500 0.500
Ge1 0.500 0.500 0.000
# - formation energy from the elements (kcal/mol of atoms) = 39.28
# - crystal system = tetragonal

=====

| no. | uncorrected energy (eV per cell) |
| --- | --- |
| 1 | -17.91 |
| 2 | -26.46 |
| 3 | -22.28 |